The following is a DFT calculation (PBE) of a relaxed structure of InNi2Pb2.

Summary:
* energy of formation from the pure elements: 188 meV per atom
* SG: I4/mmm

Cell: 9.3609 9.3609 9.3609 Å, 158.29 158.29 30.90°
Last column: nearest neighbours and their distance in Å.
Positions (direct):
In: 0.0000 0.0000 0.0000  8 Pb 3.48, 4 In 3.53
Ni: 0.2500 0.7500 0.5000  4 Ni 2.49, 4 Pb 2.73
Ni: 0.7500 0.2500 0.5000  4 Ni 2.49, 4 Pb 2.73
Pb: 0.3652 0.3652 0.0000  4 Ni 2.73
Pb: 0.6348 0.6348 0.0000  4 Ni 2.73

The following is a DFT calculation (PBE) of a relaxed structure of In2NiPb.

Summary:
* energy of formation from the pure elements: 32 meV per atom
* SG: Cm

Cell: 4.9943 4.9943 6.6911 Å, 110.34 110.34 38.44°
Last column: nearest neighbours and their distance in Å.
Positions (direct):
In: 0.0000 0.0000 0.0000  3 Ni 2.63-2.66
In: 0.1874 0.1874 0.6731  2 Ni 2.68
Ni: 0.7225 0.7225 0.0038  5 In 2.63-2.68, 2 Pb 2.78
Pb: 0.3614 0.3614 0.3577  2 Ni 2.78, 1 In 3.11

The following is a DFT calculation (PBE) of a relaxed structure of In2NiPb.

Summary:
* energy of formation from the pure elements: 45 meV per atom
* SG: P4/mmm

Cell: 3.1869 3.1869 8.8852 Å, 90.00 90.00 90.00°
Last column: nearest neighbours and their distance in Å.
Positions (direct):
In: 0.0000 0.0000 0.1806  4 Ni 2.77
In: 0.0000 0.0000 0.8194  4 Ni 2.77
Ni: 0.5000 0.5000 0.0000  8 In 2.77
Pb: 0.5000 0.5000 0.5000  4 Pb 3.19

The following is a DFT calculation (PBE) of a relaxed structure of InNiPb2.

Summary:
* energy of formation from the pure elements: 160 meV per atom
* SG: Imm2

Cell: 7.0899 7.0899 7.0899 Å, 152.78 142.20 47.20°
Last column: nearest neighbours and their distance in Å.
Positions (direct):
In: 0.0000 0.0000 0.0000  2 Ni 2.84
Ni: 0.1770 0.6770 0.5000  6 Pb 2.84-2.92, 2 In 2.84
Pb: 0.3618 0.3618 0.0000  2 Ni 2.92
Pb: 0.6752 0.1752 0.5000  4 Ni 2.84

Copy entry 4 word for word.
The following is a DFT calculation (PBE) of a relaxed structure of InNiPb2.

Summary:
* energy of formation from the pure elements: 160 meV per atom
* SG: Imm2

Cell: 7.0899 7.0899 7.0899 Å, 152.78 142.20 47.20°
Last column: nearest neighbours and their distance in Å.
Positions (direct):
In: 0.0000 0.0000 0.0000  2 Ni 2.84
Ni: 0.1770 0.6770 0.5000  6 Pb 2.84-2.92, 2 In 2.84
Pb: 0.3618 0.3618 0.0000  2 Ni 2.92
Pb: 0.6752 0.1752 0.5000  4 Ni 2.84

Which of these has the lowest energy of formation from the pure elements?
number 2